Here is a geometry-optimized BaSiAs2Br structure from the Alexandria database. Energies are from GGA-PBE.

Cell: 4.7503 4.7503 6.7468 Å, 90.00 90.00 90.00°
With the nearest neighbours (Å) after each atom.
Space group P4/mmm (No. 123)
Asymmetric unit:
Ba: 0.0000 0.0000 0.0000 [1 per cell]  4 Br 3.36, 2 Si 3.37
Si: 0.0000 0.0000 0.5000 [1 per cell]  4 As 2.38
As: 0.0000 0.5000 0.5000 [2 per cell]  2 Si 2.38
Br: 0.5000 0.5000 0.0000 [1 per cell]  4 Ba 3.36

Values from the calculation:
For the spin magnetization, the calculation gives 0.0 μB/f.u. The calculation puts the energy relative to the elements, uncorrected at -0.41 eV per atom. For the calculated total energy, the calculation gives -4.077 eV per atom.

---

Here is a geometry-optimized YTeP2 structure from the Alexandria database. Energies are from GGA-PBE.

Cell: 10.3728 3.3323 5.7890 Å, 90.00 99.52 90.00°
With the nearest neighbours (Å) after each atom.
Space group C2/m (No. 12)
Asymmetric unit:
Y: 0.0000 0.0000 0.0000 [2 per cell]  6 P 2.91-2.97
Te: 0.0000 0.5000 0.5000 [2 per cell]  2 Te 3.33, 4 Y 3.34, 6 P 3.56-3.59
P: 0.2389 0.5000 0.1239 [4 per cell]  2 P 2.24

Values from the calculation:
For the spin magnetization, the calculation gives 0.0 μB/f.u. The calculation puts the energy relative to the elements, uncorrected at -0.52 eV per atom. For the calculated total energy, the calculation gives -5.623 eV per atom.

---

Here is a geometry-optimized KCaHg2 structure from the Alexandria database. Energies are from GGA-PBE.

Cell: 4.2786 4.2786 26.9617 Å, 90.00 90.00 120.00°
With the nearest neighbours (Å) after each atom.
Space group R3m (No. 160, hexagonal axes)
Asymmetric unit:
K: 0.0000 0.0000 0.0000 [3 per cell]  6 Hg 3.52-3.54
Ca: 0.0000 0.0000 0.8324 [3 per cell]  6 Hg 3.16-3.17
Hg: 0.0000 0.0000 0.2395 [3 per cell]  3 Ca 3.17, 3 K 3.54
Hg: 0.0000 0.0000 0.4261 [3 per cell]  3 Ca 3.16, 3 K 3.52

Values from the calculation:
For the spin magnetization, the calculation gives 0.0 μB/f.u. The value obtained for the formation energy is -23.6 kJ per mole of atoms. For the calculated total energy, the calculation gives -1.170 eV per atom.

---

Here is a geometry-optimized La6PmAl structure from the Alexandria database. Energies are from GGA-PBE.

Cell: 5.0769 5.0769 10.3755 Å, 90.00 90.00 90.00°
With the nearest neighbours (Å) after each atom.
Space group P4/mmm (No. 123)
Asymmetric unit:
La: 0.0000 0.0000 0.0000 [1 per cell]  8 La 3.54, 4 Al 3.59
La: 0.0000 0.0000 0.5000 [1 per cell]  4 Pm 3.59, 8 La 3.72
La: 0.0000 0.5000 0.2378 [4 per cell]  2 Al 3.54, 8 La 3.54-3.72, 2 Pm 3.72
Pm: 0.5000 0.5000 0.5000 [1 per cell]  12 La 3.59-3.72
Al: 0.5000 0.5000 0.0000 [1 per cell]  12 La 3.54-3.59

Values from the calculation:
For the spin magnetization, the calculation gives 0.0 μB/f.u. The value obtained for the formation energy is -6.6 kJ per mole of atoms. For the calculated total energy, the calculation gives -4.826 eV per atom.